A plane-wave DFT calculation with GGA-PBE was carried out for a geometry-optimized Li3NdAu3 structure.

Summary:
ΔH_f (0 K) in eV/atom: -0.485
Energy above the most stable polymorph in this dataset in meV per atom: 78.0
Energy in eV/atom: -3.39

Geometry as CIF:
```
data_Li3NdAu3
_cell_length_a 6.9509
_cell_length_b 6.9509
_cell_length_c 20.3098
_cell_angle_alpha 90.00
_cell_angle_beta 90.00
_cell_angle_gamma 120.00
_space_group_name_H-M_alt 'R -3'
_space_group_IT_number 148
_space_group_name_Hall '-R 3'
loop_
_atom_site_label
_atom_site_type_symbol
_atom_site_fract_x
_atom_site_fract_y
_atom_site_fract_z
Li1 Li 0.0447 0.4361 0.3668
Nd1 Nd 0.0000 0.0000 0.1609
Au1 Au 0.0037 0.7614 0.4301
```